*w*
RbRhIN2 | PBE | relaxed

Output
DOS at the Fermi energy (states/eV/f.u.): 3.8
Space group: No. 123

a b c (Å): 4.232 4.232 5.792
angles (deg): 90.00 90.00 90.00
Element x y z (fractional)
1 I 0.000 0.000 0.500
2 Rh 0.000 0.000 0.000
3 Rb 0.500 0.500 0.500
4 N 0.000 0.500 0.000
5 N 0.500 0.000 0.000


*x*
RbRhIN2 | PBE | relaxed

Output
DOS at the Fermi energy (states/eV/f.u.): 4.1
Space group: No. 123

a b c (Å): 5.172 5.172 7.341
angles (deg): 90.00 90.00 90.00
Site moments in Bohr magnetons follow the coordinates.
Element x y z (fractional)
1 I 0.000 0.000 0.500  0.06
2 Rh 0.500 0.500 0.500  1.56
3 Rb 0.000 0.000 0.000  0.10
4 N 0.000 0.500 0.000  1.66
5 N 0.500 0.000 0.000  1.66


*w* has the most favorable energy; the next structure is 131.2 kJ/mol of atoms above.


*w*
RbSIN2 | PBE | relaxed

Output
DOS at the Fermi energy (states/eV/f.u.): 3.6
Space group: No. 123

a b c (Å): 4.415 4.415 5.302
angles (deg): 90.00 90.00 90.00
Site moments in Bohr magnetons follow the coordinates.
Element x y z (fractional)
1 I 0.000 0.000 0.000  -0.08
2 S 0.000 0.000 0.500  0.11
3 Rb 0.500 0.500 0.500  0.00
4 N 0.000 0.500 0.000  0.65
5 N 0.500 0.000 0.000  0.65


*x*
RbSIN2 | PBE | relaxed

Output
DOS at the Fermi energy (states/eV/f.u.): 1.8
Space group: No. 123

a b c (Å): 4.682 4.682 5.629
angles (deg): 90.00 90.00 90.00
Site moments in Bohr magnetons follow the coordinates.
Element x y z (fractional)
1 I 0.000 0.000 0.500  0.07
2 S 0.000 0.000 0.000  -0.03
3 Rb 0.500 0.500 0.500  0.01
4 N 0.000 0.500 0.000  1.13
5 N 0.500 0.000 0.000  1.13


*w* has the most favorable energy; the next structure is 7.7 kJ/mol of atoms above.


*w*
RbS2IN | PBE | relaxed

Output
DOS at the Fermi energy (states/eV/f.u.): 4.4
Space group: No. 123

a b c (Å): 5.365 5.365 4.215
angles (deg): 90.00 90.00 90.00
Site moments in Bohr magnetons follow the coordinates.
Element x y z (fractional)
1 I 0.000 0.000 0.000  -0.06
2 S 0.000 0.500 0.000  0.12
3 S 0.500 0.000 0.000  0.12
4 Rb 0.500 0.500 0.500  0.00
5 N 0.000 0.000 0.500  0.48


*x*
RbS2IN | PBE | relaxed

Output
DOS at the Fermi energy (states/eV/f.u.): 12.8
Space group: No. 123

a b c (Å): 6.293 6.293 4.780
angles (deg): 90.00 90.00 90.00
Site moments in Bohr magnetons follow the coordinates.
Element x y z (fractional)
1 I 0.500 0.500 0.500  0.57
2 S 0.000 0.500 0.000  1.05
3 S 0.500 0.000 0.000  1.05
4 Rb 0.000 0.000 0.000  0.03
5 N 0.000 0.000 0.500  0.12


*w* has the most favorable energy; the next structure is 120.9 kJ/mol of atoms above.


*w*
RbSbIN2 | PBE | relaxed

Output
DOS at the Fermi energy (states/eV/f.u.): 2.6
Space group: No. 123

a b c (Å): 4.499 4.499 6.518
angles (deg): 90.00 90.00 90.00
Site moments in Bohr magnetons follow the coordinates.
Element x y z (fractional)
1 I 0.000 0.000 0.500  0.00
2 Sb 0.000 0.000 0.000  -0.05
3 Rb 0.500 0.500 0.500  0.00
4 N 0.000 0.500 0.000  0.69
5 N 0.500 0.000 0.000  0.69


*x*
RbSbIN2 | PBE | relaxed

Output
DOS at the Fermi energy (states/eV/f.u.): 7.8
Space group: No. 123

a b c (Å): 5.178 5.178 7.179
angles (deg): 90.00 90.00 90.00
Site moments in Bohr magnetons follow the coordinates.
Element x y z (fractional)
1 I 0.000 0.000 0.500  0.00
2 Sb 0.500 0.500 0.500  0.13
3 Rb 0.000 0.000 0.000  0.11
4 N 0.000 0.500 0.000  1.68
5 N 0.500 0.000 0.000  1.68


*w* has the most favorable energy; the next structure is 112.9 kJ/mol of atoms above.


*w*
RbScIN2 | PBE | relaxed

Output
DOS at the Fermi energy (states/eV/f.u.): 5.8
Space group: No. 123

a b c (Å): 4.531 4.531 6.101
angles (deg): 90.00 90.00 90.00
Site moments in Bohr magnetons follow the coordinates.
Element x y z (fractional)
1 I 0.000 0.000 0.500  0.01
2 Sc 0.500 0.500 0.500  -0.30
3 Rb 0.000 0.000 0.000  0.01
4 N 0.000 0.500 0.000  0.04
5 N 0.500 0.000 0.000  0.04


*x*
RbScIN2 | PBE | relaxed

Output
DOS at the Fermi energy (states/eV/f.u.): 2.1
Space group: No. 123

a b c (Å): 4.591 4.591 5.891
angles (deg): 90.00 90.00 90.00
Site moments in Bohr magnetons follow the coordinates.
Element x y z (fractional)
1 I 0.000 0.000 0.500  0.08
2 Sc 0.000 0.000 0.000  -0.10
3 Rb 0.500 0.500 0.500  0.00
4 N 0.000 0.500 0.000  0.96
5 N 0.500 0.000 0.000  0.96


*x* has the most favorable energy; the next structure is 173.0 kJ/mol of atoms above.


*w*
RbSe2IN | PBE | relaxed

Output
DOS at the Fermi energy (states/eV/f.u.): 13.7
Space group: No. 123

a b c (Å): 6.510 6.510 4.741
angles (deg): 90.00 90.00 90.00
Site moments in Bohr magnetons follow the coordinates.
Element x y z (fractional)
1 I 0.500 0.500 0.500  0.52
2 Se 0.000 0.500 0.000  1.07
3 Se 0.500 0.000 0.000  1.07
4 Rb 0.000 0.000 0.000  -0.01
5 N 0.000 0.000 0.500  -0.10


*x*
RbSe2IN | PBE | relaxed

Output
DOS at the Fermi energy (states/eV/f.u.): 4.7
Space group: No. 123

a b c (Å): 5.817 5.817 4.082
angles (deg): 90.00 90.00 90.00
Site moments in Bohr magnetons follow the coordinates.
Element x y z (fractional)
1 I 0.000 0.000 0.000  -0.04
2 Se 0.000 0.500 0.000  0.26
3 Se 0.500 0.000 0.000  0.26
4 Rb 0.500 0.500 0.500  0.00
5 N 0.000 0.000 0.500  0.19


*x* has the most favorable energy; the next structure is 108.4 kJ/mol of atoms above.